(1)
Entry from Alexandria via LeMat-Bulk: AlCrAs2 after structural relaxation (GGA-PBE).

Calculated values
* ΔH_f (0 K): 0.13 eV/atom

Lattice parameters (Å, degrees): 9.9489 9.9489 9.9489 16.85 16.85 16.85
Each line ends with the local moment (μB).
Element x y z (fractional)
Cr1 0.4948 0.4948 0.4948  1.50
As1 0.0205 0.0205 0.0205  0.08
As2 0.2258 0.2258 0.2258  -0.02
Al1 0.7590 0.7590 0.7590  -0.01

***

(2)
Entry from Alexandria via LeMat-Bulk: Al2CrAs after structural relaxation (GGA-PBE).

Calculated values
* ΔH_f (0 K): 0.21 eV/atom

Lattice parameters (Å, degrees): 7.4065 7.4065 5.8835 50.99 50.99 90.00
Each line ends with the local moment (μB).
Element x y z (fractional)
Cr1 0.5000 0.5000 0.0000  3.51
Cr2 0.2500 0.7500 0.5000  3.51
As1 0.0000 0.0000 0.0000  -0.01
As2 0.7500 0.2500 0.5000  -0.01
Al1 0.6560 0.1250 0.2500  -0.02
Al2 0.0940 0.6250 0.2500  -0.02
Al3 0.3750 0.3440 0.7500  -0.02
Al4 0.8750 0.9060 0.7500  -0.02

***

(3)
Entry from Alexandria via LeMat-Bulk: Al2CrAs after structural relaxation (GGA-PBE).

Calculated values
* ΔH_f (0 K): 0.10 eV/atom

Lattice parameters (Å, degrees): 2.8598 2.8598 7.8579 90.00 90.00 89.99
Each line ends with the local moment (μB).
Element x y z (fractional)
Cr1 0.5000 0.5000 0.7500  1.95
As1 0.5000 0.5000 0.2500  0.00
Al1 0.0000 0.0000 0.9572  -0.03
Al2 0.0000 0.0000 0.5428  -0.03

***

(4)
Entry from Alexandria via LeMat-Bulk: AlCrAs2 after structural relaxation (GGA-PBE).

Calculated values
* ΔH_f (0 K): -0.09 eV/atom

Lattice parameters (Å, degrees): 3.6810 6.4272 5.2579 35.03 90.00 90.00
Each line ends with the local moment (μB).
Element x y z (fractional)
Cr1 0.5000 0.5000 0.5000  3.04
As1 0.0000 0.0000 0.0000  -0.13
As2 0.5000 0.5000 0.0000  -0.11
Al1 0.0000 0.0000 0.5000  0.03

***

(5)
Entry from Alexandria via LeMat-Bulk: Al2CrAs after structural relaxation (GGA-PBE).

Calculated values
* ΔH_f (0 K): 0.10 eV/atom

Lattice parameters (Å, degrees): 8.6810 8.6810 8.6810 19.35 19.35 19.35
Each line ends with the local moment (μB).
Element x y z (fractional)
Cr1 0.7500 0.7500 0.7500  1.73
As1 0.2500 0.2500 0.2500  0.00
Al1 0.0070 0.0070 0.0070  -0.01
Al2 0.4930 0.4930 0.4930  -0.01

***

(6)
Entry from Alexandria via LeMat-Bulk: AlCr2AsH after structural relaxation (GGA-PBE).

Lattice parameters (Å, degrees): 4.9159 5.0024 4.9159 90.00 90.00 90.00
Each line ends with the local moment (μB).
Element x y z (fractional)
Cr1 0.0000 0.0000 0.5000  4.00
Cr2 0.5000 0.0000 0.0000  3.99
As1 0.0000 0.0000 0.0000  -0.09
Al1 0.0000 0.5000 0.0000  0.00
H1 0.5000 0.5000 0.5000  0.02

***

(7)
Entry from Alexandria via LeMat-Bulk: Al2CrInAs after structural relaxation (GGA-PBE).

Calculated values
* ΔH_f (0 K): 0.74 eV/atom

Lattice parameters (Å, degrees): 4.7895 5.1572 4.7895 90.00 90.00 90.00
Each line ends with the local moment (μB).
Element x y z (fractional)
Cr1 0.0000 0.0000 0.0000  2.69
As1 0.5000 0.5000 0.5000  0.28
Al1 0.0000 0.0000 0.5000  0.00
Al2 0.5000 0.0000 0.0000  -0.01
In1 0.0000 0.5000 0.0000  0.03

***

(8)
Entry from Alexandria via LeMat-Bulk: MnAlCr2As after structural relaxation (GGA-PBE).

Calculated values
* ΔH_f (0 K): 0.83 eV/atom

Lattice parameters (Å, degrees): 4.3891 4.3891 4.4026 90.00 90.00 90.00
Each line ends with the local moment (μB).
Element x y z (fractional)
Cr1 0.0000 0.5000 0.0000  0.37
Cr2 0.5000 0.0000 0.0000  0.37
As1 0.0000 0.0000 0.0000  -0.04
Mn1 0.0000 0.0000 0.5000  2.84
Al1 0.5000 0.5000 0.5000  -0.04

***

Short version: raw total energy = -5.54 -5.23 -5.34 -5.76 -5.34 -5.03 -4.16 -6.53 eV per atom, in the order given.